Record 1
Entry from Alexandria: crystalline Sr5Li2Cl12 at its relaxed geometry (GGA-PBE).

abc: 8.0578 8.6826 10.3083
angles: 110.48 90.00 117.65
Last column: magnetic moment on the atom in μB.
Fractional positions:
Cl 0.3832 0.2830 0.5143  0.01
Cl 0.1071 0.2142 0.8073  0.07
Cl 0.0917 0.6602 0.8785  0.00
Cl 0.8999 0.2830 0.5143  0.01
Cl 0.1001 0.7170 0.4857  0.01
Cl 0.9083 0.3398 0.1215  0.00
Cl 0.5685 0.6602 0.8785  0.00
Cl 0.4885 0.9770 0.1751  0.00
Cl 0.4315 0.3398 0.1215  0.00
Cl 0.6168 0.7170 0.4857  0.01
Cl 0.5115 0.0230 0.8249  0.00
Cl 0.8929 0.7858 0.1927  0.07
Sr 0.7204 0.4408 0.9410  0.00
Sr 0.0000 0.0000 0.5000  0.00
Sr 0.3000 0.6000 0.6334  0.00
Sr 0.2796 0.5592 0.0590  0.00
Sr 0.7000 0.4000 0.3666  0.00
Li 0.6925 0.0000 0.0000  0.00
Li 0.3075 0.0000 0.0000  0.00

Formation energy without anion corrections   -43.25 eV per formula unit
SG   C2/m, No. 12
Electronic total energy   -77.7 eV per cell
E above lowest polymorph   39.9 meV per atom



Record 2
Entry from Alexandria: crystalline KCr2Si at its relaxed geometry (GGA-PBE).

abc: 3.7426 3.0119 7.6093
angles: 79.28 90.00 90.00
Last column: magnetic moment on the atom in μB.
Fractional positions:
Cr 0.5000 0.2719 0.0943  -1.89
Cr 0.0000 0.7889 0.0593  2.19
K 0.0000 0.5442 0.5143  0.00
Si 0.5000 0.8950 0.8320  0.01

Formation energy without anion corrections   2.08 eV per formula unit
SG   Pm, No. 6
Electronic total energy   -23.7 eV per cell



Record 3
Entry from Alexandria: crystalline Ac4PrGe2 at its relaxed geometry (GGA-PBE).

abc: 10.0750 10.1931 8.2902
angles: 124.65 113.26 103.91
Fractional positions:
Ac 0.8170 0.1516 0.1870
Ac 0.1780 0.1185 0.5680
Ac 0.4534 0.5627 0.7218
Ac 0.8751 0.6229 0.7339
Ac 0.9541 0.3541 0.9059
Ac 0.4798 0.6703 0.3368
Ac 0.4538 0.0415 0.3053
Ac 0.7524 0.5664 0.1603
Pr 0.1004 0.0740 0.9218
Pr 0.2264 0.7685 0.6315
Ge 0.7599 0.9397 0.3622
Ge 0.5270 0.0837 0.7462
Ge 0.4934 0.2501 0.1097
Ge 0.1793 0.5459 0.8095

SG   P1, No. 1
Electronic total energy   -65.8 eV per cell
DFT formation energy   -0.351 eV per atom



Record 4
Entry from Alexandria: crystalline Na2CrAs2 at its relaxed geometry (GGA-PBE).

abc: 6.5732 6.5732 4.9033
angles: 90.00 90.00 90.00
Last column: magnetic moment on the atom in μB.
Fractional positions:
As 0.3632 0.8632 0.0000  -0.06
As 0.6368 0.1368 0.0000  -0.06
As 0.1368 0.3632 0.0000  -0.06
As 0.8632 0.6368 0.0000  -0.06
Cr 0.5000 0.5000 0.0000  3.34
Cr 0.0000 0.0000 0.0000  3.34
Na 0.6719 0.8281 0.5000  0.00
Na 0.3281 0.1719 0.5000  0.00
Na 0.8281 0.3281 0.5000  0.00
Na 0.1719 0.6719 0.5000  0.00

SG   P4/mbm, No. 127
Electronic total energy   -45.5 eV per cell
E above lowest polymorph   0.0 meV per atom
DFT formation energy   -0.238 eV per atom



Record 5
Entry from Alexandria: crystalline PuHgAs at its relaxed geometry (GGA-PBE).

abc: 3.0715 5.0674 5.0674
angles: 120.00 90.00 90.00
Last column: magnetic moment on the atom in μB.
Fractional positions:
Hg 0.1678 0.3333 0.6667  -0.01
Pu 0.6667 0.6667 0.3333  5.55
As 0.1655 0.0000 0.0000  -0.08

SG   P3m1, No. 156
Electronic total energy   -20.1 eV per cell
DFT formation energy   -0.268 eV per atom



Record 6
Entry from Alexandria: crystalline PmHgPt at its relaxed geometry (GGA-PBE).

abc: 4.8001 4.8001 4.8001
angles: 60.00 60.00 60.00
Fractional positions:
Pm 0.0000 0.0000 0.0000
Pt 0.2500 0.2500 0.2500
Hg 0.5000 0.5000 0.5000

SG   F-43m, No. 216
Electronic total energy   -13.3 eV per cell
E above lowest polymorph   77.6 meV per atom
DFT formation energy   -0.736 eV per atom



Record 7
Entry from Alexandria: crystalline RbCdS3 at its relaxed geometry (GGA-PBE).

abc: 5.9938 5.9938 5.9938
angles: 90.00 90.00 90.00
Last column: magnetic moment on the atom in μB.
Fractional positions:
S 0.5000 0.0000 0.0000  0.76
S 0.0000 0.5000 0.0000  0.90
S 0.0000 0.0000 0.5000  1.01
Cd 0.5000 0.5000 0.5000  0.23
Rb 0.0000 0.0000 0.0000  0.05

Formation energy without anion corrections   5.53 eV per formula unit
SG   Pm-3m, No. 221
Electronic total energy   -8.7 eV per cell
E above lowest polymorph   1104.0 meV per atom



no.,spin magnetization (Bohr magnetons per cell)
1,0.24
2,0.32
3,0.00
4,7.47
5,5.65
6,0.00
7,5.00